No. 1
VASP calculation (GGA-PBE) on an optimized crystal structure of Sm2Y3ErS6.

Lattice parameters (Å, degrees): 3.9288 7.9172 8.7979 103.01 102.90 90.00
With the nearest neighbours (Å) after each atom.
Atoms (fractional coordinates):
1 Sm 0.8323 0.6643 0.6646  6 S 2.81-2.84
2 Sm 0.1677 0.3357 0.3354  6 S 2.81-2.84
3 Y 0.5000 0.5000 0.0000  6 S 2.74-2.81
4 Y 0.8311 0.1672 0.6622  6 S 2.75-2.78
5 Y 0.1689 0.8328 0.3378  6 S 2.75-2.78
6 Er 0.5000 0.0000 0.0000  6 S 2.74-2.77
7 S 0.3357 0.9238 0.6714  1 Er 2.74, 3 Y 2.77-2.78, 2 Sm 2.83
8 S 0.6641 0.5884 0.3283  3 Y 2.74-2.75, 3 Sm 2.81
9 S 0.6643 0.0762 0.3286  1 Er 2.74, 3 Y 2.77-2.78, 2 Sm 2.83
10 S 0.9975 0.2445 0.9950  2 Er 2.77, 3 Y 2.78-2.81, 1 Sm 2.84
11 S 0.0025 0.7555 0.0050  2 Er 2.77, 3 Y 2.78-2.81, 1 Sm 2.84
12 S 0.3359 0.4116 0.6717  3 Y 2.74-2.75, 3 Sm 2.81

- SG = C2/m

=====

No. 2
VASP calculation (GGA-PBE) on an optimized crystal structure of Li5IN.

Lattice parameters (Å, degrees): 7.3964 7.3964 7.3964 89.59 62.42 121.99
With the nearest neighbours (Å) after each atom.
Atoms (fractional coordinates):
1 Li 0.2689 0.2689 0.0000  1 N 1.93
2 Li 0.4454 0.8190 0.7356  1 N 1.93
3 Li 0.7689 0.2689 0.5000  1 N 1.93
4 Li 0.2500 0.0360 0.7140  2 N 1.95
5 Li 0.0546 0.8190 0.1264  1 N 1.93
6 Li 0.9454 0.1810 0.8736  1 N 1.93
7 Li 0.7500 0.9640 0.2860  2 N 1.95
8 Li 0.2311 0.7311 0.5000  1 N 1.93
9 Li 0.5546 0.1810 0.2644  1 N 1.93
10 Li 0.7311 0.7311 0.0000  1 N 1.93
11 I 0.2500 0.3641 0.3859  6 Li 2.90-3.02
12 I 0.7500 0.6359 0.6141  6 Li 2.90-3.02
13 N 0.0000 0.0000 0.0000  6 Li 1.93-1.95
14 N 0.5000 0.0000 0.5000  6 Li 1.93-1.95

- SG = Imma

=====

Looking at energy relative to the elements, uncorrected for the records above, in order, we have -2.00, -0.48 eV per atom.
Looking at uncorrected energy for the records above, in order, we have -6.845, -3.254 eV per atom.